First-principles (PBEsol) data for a relaxed BaGa3Sn crystal, as listed in the Alexandria database.

The structure in POSCAR format:
```
BaGa3Sn
1.0
4.7908 0.0000 0.0000
0.0000 4.7908 0.0000
-2.3954 -2.3954 5.2726
Sn Ba Ga
1 1 3
Cartesian
0.0000 0.0000 4.0003
0.0000 0.0000 0.0028
2.3954 0.0000 2.5457
0.0000 2.3954 2.5457
2.3954 2.3954 1.4507
```

Calculated values
ΔE_f ... -213.2 kJ/mol of formula units
Total magnetic moment ... 0.00 μB per formula unit



First-principles (PBEsol) data for a relaxed Ba5Ga5Sn crystal, as listed in the Alexandria database.

The structure in POSCAR format:
```
Ba5Ga5Sn
1.0
5.9871 0.0000 0.0000
-2.9936 5.1850 0.0000
0.0000 0.0000 10.6714
Sn Ba Ga
1 5 5
Cartesian
0.0000 0.0000 0.0000
0.0000 3.4567 2.1663
0.0000 0.0000 7.1362
0.0000 3.4567 8.5051
0.0000 0.0000 3.5353
2.9936 1.7283 0.0000
2.9936 1.7283 3.5177
0.0000 4.9960 5.3357
-1.3331 2.6870 5.3357
1.3331 2.6870 5.3357
2.9936 1.7283 7.1537
```

Calculated values
ΔE_f ... -557.7 kJ/mol of formula units
Total magnetic moment ... 0.00 μB per formula unit



First-principles (PBEsol) data for a relaxed Ba2YGaSn crystal, as listed in the Alexandria database.

The structure in POSCAR format:
```
Ba2YGaSn
1.0
5.5915 0.0000 0.0000
0.0000 5.9579 0.0000
0.0000 0.0000 5.9579
Sn Ba Y Ga
1 2 1 1
Cartesian
2.7957 2.9790 2.9790
0.0000 0.0000 2.9790
0.0000 2.9790 0.0000
2.7957 0.0000 0.0000
0.0000 0.0000 0.0000
```

Calculated values
ΔE_f ... -1.1 kJ/mol of formula units
Total magnetic moment ... 0.00 μB per formula unit



First-principles (PBEsol) data for a relaxed BaSr2Ga crystal, as listed in the Alexandria database.

The structure in POSCAR format:
```
BaSr2Ga
1.0
5.8846 0.0000 0.0000
2.9423 5.0962 0.0000
2.9423 1.6987 4.8047
Sr Ga Ba
2 1 1
Cartesian
8.8269 5.0962 3.6036
2.9423 1.6987 1.2012
0.0000 0.0000 0.0000
5.8846 3.3975 2.4024
```

Calculated values
ΔE_f ... 3.6 kJ/mol of formula units
Total magnetic moment ... 0.00 μB per formula unit



First-principles (PBEsol) data for a relaxed BaSrGa4 crystal, as listed in the Alexandria database.

The structure in POSCAR format:
```
BaSrGa4
1.0
-1.7177 3.6648 -1.5626
-2.2250 -2.3944 2.8530
3.9965 4.9865 7.3019
Ga Ba Sr
4 1 1
Cartesian
1.1531 5.4379 5.4632
-1.0992 0.8190 3.1290
0.9840 3.4182 6.9351
-0.9301 2.8387 1.6572
1.9983 2.4933 3.6510
0.0000 0.0000 0.0000
```

Calculated values
ΔE_f ... -291.3 kJ/mol of formula units
Total magnetic moment ... 0.00 μB per formula unit



First-principles (PBEsol) data for a relaxed BaSr2Ga2 crystal, as listed in the Alexandria database.

The structure in POSCAR format:
```
BaSr2Ga2
1.0
-3.3652 -2.4053 -2.6820
-3.9984 -2.1847 6.9762
-4.5923 6.9374 -0.4595
Ba Sr Ga
2 4 4
Cartesian
0.0000 0.0000 0.0000
-4.2953 2.3763 3.2583
-3.7821 -0.7540 0.8909
-6.5259 -0.7216 4.3045
-8.1738 3.1013 2.9437
-5.4300 3.0689 -0.4699
-5.6722 5.3364 2.3313
-2.2326 2.4926 0.5659
-2.9184 -0.5838 4.1854
-6.3581 2.2601 5.9508
```

Calculated values
ΔE_f ... -141.8 kJ/mol of formula units
Total magnetic moment ... 0.00 μB per formula unit



First-principles (PBEsol) data for a relaxed BaSr2Ga2 crystal, as listed in the Alexandria database.

The structure in POSCAR format:
```
BaSr2Ga2
1.0
-1.3122 4.5438 2.2785
-4.3756 0.1879 -2.8945
-0.3060 -5.5592 4.8622
Ba Sr Ga
1 2 2
Cartesian
0.0000 0.0000 0.0000
-2.2310 0.6752 3.4164
-3.7627 -1.5027 0.8298
-2.5509 -2.5861 3.6882
-3.4429 1.7586 0.5580
```

Calculated values
ΔE_f ... -112.1 kJ/mol of formula units
Total magnetic moment ... 0.00 μB per formula unit



First-principles (PBEsol) data for a relaxed BaGa3Tc crystal, as listed in the Alexandria database.

The structure in POSCAR format:
```
BaGa3Tc
1.0
-2.7004 -2.6617 3.0892
3.5949 -5.5429 -1.6332
4.3899 1.3689 5.0169
Ga Ba Tc
6 2 2
Cartesian
0.6507 -3.9018 0.4953
3.7937 -3.8149 0.0293
4.1912 -0.3590 3.3544
0.6413 -0.8469 4.2858
5.9887 -3.1305 2.5378
1.9962 -1.0435 0.8459
2.6422 -3.4178 3.2364
-1.3502 -1.3308 1.5446
1.9752 0.4678 2.7599
-0.6831 -5.2164 2.0211
```

Calculated values
ΔE_f ... -200.2 kJ/mol of formula units
Total magnetic moment ... 0.00 μB per formula unit



First-principles (PBEsol) data for a relaxed BaGa2Tc crystal, as listed in the Alexandria database.

The structure in POSCAR format:
```
BaGa2Tc
1.0
4.9385 0.0000 0.0000
2.4693 4.2769 0.0000
2.4693 1.4256 4.0323
Ga Ba Tc
2 1 1
Cartesian
7.4078 4.2769 3.0242
2.4693 1.4256 1.0081
4.9385 2.8513 2.0161
0.0000 0.0000 0.0000
```

Calculated values
ΔE_f ... 182.1 kJ/mol of formula units
Total magnetic moment ... 2.25 μB per formula unit



First-principles (PBEsol) data for a relaxed BaGa3Tc crystal, as listed in the Alexandria database.

The structure in POSCAR format:
```
BaGa3Tc
1.0
-0.6895 -4.5793 -1.4522
4.8031 -0.6870 -0.1143
-0.0977 -1.4535 4.6295
Ba Tc Ga
1 1 3
Cartesian
2.0079 -3.3599 1.5315
0.0000 0.0000 0.0000
2.4015 -0.3435 -0.0571
-0.0489 -0.7267 2.3148
-0.3448 -2.2897 -0.7261
```

Calculated values
ΔE_f ... -197.9 kJ/mol of formula units
Total magnetic moment ... 0.00 μB per formula unit



First-principles (PBEsol) data for a relaxed Ba3TlGa crystal, as listed in the Alexandria database.

The structure in POSCAR format:
```
Ba3TlGa
1.0
-1.5872 3.7830 5.0564
-5.2655 -3.6710 1.0936
3.4861 -3.8224 3.9540
Ga Ba Tl
1 3 1
Cartesian
-1.6833 -1.8552 5.0520
1.7431 -1.9112 1.9770
-2.6327 -1.8355 0.5468
-0.7936 1.8915 2.5282
0.0000 0.0000 0.0000
```

Calculated values
ΔE_f ... 100.3 kJ/mol of formula units
Total magnetic moment ... 2.84 μB per formula unit



First-principles (PBEsol) data for a relaxed Ba2TlGa crystal, as listed in the Alexandria database.

The structure in POSCAR format:
```
Ba2TlGa
1.0
5.8094 0.0000 0.0000
2.9047 5.0311 0.0000
2.9047 1.6770 4.7434
Ba Tl Ga
2 1 1
Cartesian
2.9047 1.6770 1.1858
8.7141 5.0311 3.5575
5.8094 3.3541 2.3717
0.0000 0.0000 0.0000
```

Calculated values
ΔE_f ... -134.1 kJ/mol of formula units
Total magnetic moment ... 0.00 μB per formula unit



E_tot for every record listed, in sequence, given in eV/cell: -18.6; -37.5; -18.7; -9.1; -20.4; -28.0; -13.7; -51.0; -18.2; -25.5; -11.4; -11.7.